No. 1
The following is a PBE-GGA calculation of an optimized crystal structure of NdSmHoCd, from Alexandria via LeMat-Bulk.

Results
Relative energy among the computed polymorphs: 108 meV/atom
DOS at the Fermi energy: 1.371 states/eV per atom

Geometry as extended XYZ:
```
4
Lattice="-3.617 -1.371 -3.954 0.959 -4.391 -3.224 -3.092 -4.555 0.538" Properties=species:S:1:pos:R:3 pbc="T T T"
Nd 0.000 0.000 0.000
Ho -1.437 -2.579 -1.660
Sm -2.875 -5.158 -3.320
Cd -4.312 -7.737 -4.980
```

No. 2
The following is a PBE-GGA calculation of an optimized crystal structure of LiZn2C, from Alexandria via LeMat-Bulk.

Results
Final energy: -22.46 eV/cell
DOS at the Fermi energy: 0.132 states/eV per atom

Geometry as extended XYZ:
```
8
Lattice="6.265 0.000 0.000 0.000 6.265 0.000 3.133 3.133 4.453" Properties=species:S:1:pos:R:3 pbc="T T T"
Zn 6.267 1.566 1.113
Zn 6.263 4.699 1.113
Zn 4.699 3.131 3.340
Zn 7.831 3.134 3.340
C 0.000 0.000 0.000
C 6.265 3.133 2.227
Li 3.133 3.133 0.000
Li 3.133 6.265 2.227
```

No. 3
The following is a PBE-GGA calculation of an optimized crystal structure of Rb2LiCuSe2, from Alexandria via LeMat-Bulk.

Results
Formation energy from raw total energies: -0.8727 eV per atom

Geometry as extended XYZ:
```
12
Lattice="6.379 0.000 0.000 0.000 6.408 0.000 -3.189 -3.204 7.745" Properties=species:S:1:pos:R:3 pbc="T T T"
Rb 1.603 0.000 2.592
Rb 1.587 3.204 5.152
Rb -1.587 0.000 5.152
Rb 4.776 3.204 2.592
Li 0.000 4.806 0.000
Li 0.000 1.602 0.000
Cu 3.189 4.806 0.000
Cu 3.189 1.602 0.000
Se 4.725 0.000 1.350
Se 1.653 3.204 1.350
Se 1.536 0.000 6.394
Se -1.536 3.204 6.394
```

No. 4
The following is a PBE-GGA calculation of an optimized crystal structure of LaGdGaAu, from Alexandria via LeMat-Bulk.

Results
Final energy: -27.94 eV/cell
DOS at the Fermi energy: 1.150 states/eV per atom

Geometry as extended XYZ:
```
4
Lattice="-1.564 4.113 2.883 -4.807 2.022 -0.693 -3.679 -0.632 3.707" Properties=species:S:1:pos:R:3 pbc="T T T"
Gd 0.000 0.000 0.000
Au -7.537 4.127 4.422
Ga -2.512 1.376 1.474
La -5.025 2.752 2.948
```

No. 5
The following is a PBE-GGA calculation of an optimized crystal structure of BaScTlMo2, from Alexandria via LeMat-Bulk.

Results
Final energy: -24.29 eV/cell
DOS at the Fermi energy: 1.449 states/eV per atom

Geometry as extended XYZ:
```
5
Lattice="-4.547 -1.497 0.976 0.546 -4.249 -3.974 1.728 -3.001 3.447" Properties=species:S:1:pos:R:3 pbc="T T T"
Mo 0.864 -1.501 1.723
Mo -2.274 -0.748 0.488
Sc 0.000 0.000 0.000
Tl -1.137 -4.374 0.224
Ba 0.273 -2.125 -1.987
```

No. 6
The following is a PBE-GGA calculation of an optimized crystal structure of Rb6AuO2, from Alexandria via LeMat-Bulk.

Results
Relative energy among the computed polymorphs: 0 meV/atom
Formation energy from raw total energies: -0.6503 eV per atom
DOS at the Fermi energy: 0.275 states/eV per atom

Geometry as extended XYZ:
```
9
Lattice="5.489 0.000 0.000 -2.744 8.125 0.070 0.000 -2.431 10.076" Properties=species:S:1:pos:R:3 pbc="T T T"
Rb 2.744 4.653 7.996
Rb 2.744 4.139 1.102
Rb 0.000 1.555 9.044
Rb 2.744 0.698 6.317
Rb 0.000 4.997 3.829
Rb 0.000 1.041 2.150
Au 0.000 -1.215 5.038
O 2.744 2.156 8.428
O 0.000 3.539 1.718
```

No. 7
The following is a PBE-GGA calculation of an optimized crystal structure of LiPr2CuAu6, from Alexandria via LeMat-Bulk.

Results
Final energy: -39.62 eV/cell
DOS at the Fermi energy: 0.436 states/eV per atom

Geometry as extended XYZ:
```
10
Lattice="6.835 -0.280 -1.187 -0.237 6.798 1.092 2.510 4.070 4.965" Properties=species:S:1:pos:R:3 pbc="T T T"
Li 3.299 3.259 -0.047
Pr 2.595 7.164 3.208
Pr 6.513 3.425 1.662
Cu 0.000 0.000 0.000
Au 3.932 8.949 5.448
Au 4.310 5.551 0.851
Au 2.796 3.522 2.427
Au 5.176 1.640 -0.578
Au 4.798 5.038 4.020
Au 6.311 7.066 2.443
```

No. 8
The following is a PBE-GGA calculation of an optimized crystal structure of EuGaAu, from Alexandria via LeMat-Bulk.

Results
Final energy: -18.13 eV/cell
DOS at the Fermi energy: 1.560 states/eV per atom

Geometry as extended XYZ:
```
3
Lattice="-2.579 2.241 -1.251 -1.477 0.154 3.321 5.064 2.943 0.124" Properties=species:S:1:pos:R:3 pbc="T T T"
Eu 0.698 4.915 2.075
Au 1.558 2.125 0.595
Ga -1.151 2.393 1.370
```

No. 9
The following is a PBE-GGA calculation of an optimized crystal structure of PtAuSe2, from Alexandria via LeMat-Bulk.

Results
Formation energy from raw total energies: 0.5021 eV per atom
DOS at the Fermi energy: 1.146 states/eV per atom

Geometry as extended XYZ:
```
4
Lattice="-0.060 -4.290 1.974 1.110 -3.800 -2.575 4.053 -2.290 0.796" Properties=species:S:1:pos:R:3 pbc="T T T"
Au 2.551 -5.190 0.097
Pt 3.827 -7.785 0.146
Se 0.000 0.000 0.000
Se 1.276 -2.595 0.049
```

No. 10
The following is a PBE-GGA calculation of an optimized crystal structure of ScSb2PdI, from Alexandria via LeMat-Bulk.

Results
Relative energy among the computed polymorphs: 180 meV/atom
Formation energy from raw total energies: 0.3689 eV per atom
DOS at the Fermi energy: 0.730 states/eV per atom

Geometry as extended XYZ:
```
5
Lattice="-4.827 -0.473 2.592 -1.373 -4.165 -3.317 2.253 -3.566 3.545" Properties=species:S:1:pos:R:3 pbc="T T T"
I 1.127 -1.783 1.773
Sb -0.686 -2.083 -1.659
Sb -2.413 -0.237 1.296
Sc 0.000 0.000 0.000
Pd -1.973 -4.102 1.410
```

no.,calculated density (g/cm3)
1,7.94
2,2.85
3,4.19
4,9.08
5,6.89
6,2.74
7,11.55
8,9.98
9,12.26
10,5.20